Run w
Nd3Ho4Sc | PBE-GGA | relaxed

It has space group Immm (No. 71), with a = 3.483 Å, b = 11.607 Å, c = 12.782 Å, α = 90.00°, β = 90.00° and γ = 90.00°. The inequivalent atoms are Nd at (0.000, 0.000, 0.000), Nd at (0.000, 0.500, 0.240), Ho at (0.000, 0.242, 0.366) and Sc at (0.000, 0.000, 0.500).

The density of states at the Fermi level is 11.7 states/eV/f.u.



Run x
Nd3Ho4Sc | PBE-GGA | relaxed

It has space group Pmn2_1 (No. 31), with a = 11.326 Å, b = 7.258 Å, c = 6.241 Å, α = 90.00°, β = 90.00° and γ = 90.00°. The inequivalent atoms are Nd at (0.000, 0.127, 0.000), Nd at (0.250, 0.124, 0.332), Ho at (0.000, 0.376, 0.503), Ho at (0.000, 0.623, 0.999), Ho at (0.244, 0.624, 0.337) and Sc at (0.000, 0.870, 0.496).

The density of states at the Fermi level is 13.8 states/eV/f.u.



We find run x to be the most stable, with the next structure 101 meV per atom higher.



Run w
NdHo8Sc2 | PBE-GGA | relaxed

It has space group Immm (No. 71), with a = 5.352 Å, b = 8.117 Å, c = 15.575 Å, α = 90.00°, β = 90.00° and γ = 90.00°. The inequivalent atoms are Nd at (0.000, 0.000, 0.000), Ho at (0.000, 0.200, 0.500), Ho at (0.000, 0.295, 0.143), Ho at (0.000, 0.500, 0.336) and Sc at (0.000, 0.000, 0.300).

The density of states at the Fermi level is 16.9 states/eV/f.u.



Run x
NdHo8Sc2 | PBE-GGA | relaxed

It has space group C2/m (No. 12), with a = 8.992 Å, b = 16.643 Å, c = 5.829 Å, α = 90.00°, β = 128.35° and γ = 90.00°. The inequivalent atoms are Nd at (0.000, 0.000, 0.000), Ho at (0.000, 0.203, 0.000), Ho at (0.031, 0.500, 0.769), Ho at (0.229, 0.132, 0.714) and Sc at (0.000, 0.313, 0.500).

The density of states at the Fermi level is 15.0 states/eV/f.u.



We find run w to be the most stable, with the next structure 49 meV per atom higher.



Run w
Nd5HoSc4 | PBE-GGA | relaxed

It has space group P4/mmm (No. 123), with a = 3.593 Å, b = 3.593 Å, c = 23.381 Å, α = 90.00°, β = 90.00° and γ = 90.00°. The inequivalent atoms are Nd at (0.000, 0.000, 0.000), Nd at (0.000, 0.000, 0.196), Nd at (0.000, 0.000, 0.392), Ho at (0.500, 0.500, 0.500), Sc at (0.500, 0.500, 0.098) and Sc at (0.500, 0.500, 0.294).

The density of states at the Fermi level is 15.3 states/eV/f.u.



Run x
Nd5HoSc4 | PBE-GGA | relaxed

It has space group I4 (No. 79), with a = 9.980 Å, b = 9.980 Å, c = 6.215 Å, α = 90.00°, β = 90.00° and γ = 90.00°. The inequivalent atoms are Nd at (0.000, 0.000, 0.000), Nd at (0.150, 0.250, 0.731), Ho at (0.000, 0.000, 0.462) and Sc at (0.058, 0.360, 0.233).

The density of states at the Fermi level is 15.7 states/eV/f.u.



We find run w to be the most stable, with the next structure 282 meV per atom higher.



Run w
Nd2Ho6Sc | PBE-GGA | relaxed

It has space group C2/c (No. 15), with a = 16.296 Å, b = 11.497 Å, c = 6.036 Å, α = 90.00°, β = 96.92° and γ = 90.00°. The inequivalent atoms are Nd at (0.171, 0.104, 0.062), Ho at (0.049, 0.142, 0.511), Ho at (0.108, 0.367, 0.827), Ho at (0.204, 0.363, 0.364) and Sc at (0.000, 0.397, 0.250).

The density of states at the Fermi level is 12.9 states/eV/f.u.



Run x
Nd2Ho6Sc | PBE-GGA | relaxed

It has space group C2/m (No. 12), with a = 17.689 Å, b = 9.789 Å, c = 3.424 Å, α = 90.00°, β = 101.00° and γ = 90.00°. The inequivalent atoms are Nd at (0.167, 0.000, 0.166), Ho at (0.000, 0.198, 0.000), Ho at (0.164, 0.316, 0.663) and Sc at (0.000, 0.500, 0.500).

The density of states at the Fermi level is 18.6 states/eV/f.u.



We find run w to be the most stable, with the next structure 100 meV per atom higher.



Run w
Nd8Ho3Sc2 | PBE-GGA | relaxed

It has space group Cmmm (No. 65), with a = 7.789 Å, b = 19.784 Å, c = 5.700 Å, α = 90.00°, β = 90.00° and γ = 90.00°. The inequivalent atoms are Nd at (0.000, 0.132, 0.000), Nd at (0.000, 0.321, 0.000), Nd at (0.204, 0.390, 0.500), Ho at (0.000, 0.000, 0.500), Ho at (0.212, 0.500, 0.000) and Sc at (0.000, 0.239, 0.500).

The density of states at the Fermi level is 17.8 states/eV/f.u.



Run x
Nd8Ho3Sc2 | PBE-GGA | relaxed

It has space group C2/m (No. 12), with a = 12.975 Å, b = 11.727 Å, c = 6.104 Å, α = 90.00°, β = 113.24° and γ = 90.00°. The inequivalent atoms are Nd at (0.056, 0.000, 0.290), Nd at (0.151, 0.500, 0.569), Nd at (0.168, 0.249, 0.158), Ho at (0.000, 0.249, 0.500), Ho at (0.000, 0.500, 0.000) and Sc at (0.209, 0.000, 0.849).

The density of states at the Fermi level is 21.9 states/eV/f.u.



We find run x to be the most stable, with the next structure 46 meV per atom higher.



Run w
Nd5Ho6Sc | PBE-GGA | relaxed

It has space group C2/m (No. 12), with a = 6.183 Å, b = 10.708 Å, c = 11.798 Å, α = 90.00°, β = 100.04° and γ = 90.00°. The inequivalent atoms are Nd at (0.000, 0.000, 0.000), Nd at (0.000, 0.166, 0.500), Nd at (0.000, 0.333, 0.000), Ho at (0.248, 0.335, 0.747), Ho at (0.248, 0.500, 0.253) and Sc at (0.000, 0.500, 0.500).

The density of states at the Fermi level is 14.9 states/eV/f.u.



Run x
Nd5Ho6Sc | PBE-GGA | relaxed

It has space group Immm (No. 71), with a = 5.056 Å, b = 10.064 Å, c = 15.173 Å, α = 90.00°, β = 90.00° and γ = 90.00°. The inequivalent atoms are Nd at (0.000, 0.000, 0.000), Nd at (0.000, 0.000, 0.337), Nd at (0.000, 0.500, 0.334), Ho at (0.000, 0.245, 0.500), Ho at (0.000, 0.253, 0.165) and Sc at (0.000, 0.500, 0.000).

The density of states at the Fermi level is 17.2 states/eV/f.u.



We find run w to be the most stable, with the next structure 6 meV per atom higher.



Run w
TbNdHoSc | PBE-GGA | relaxed

It has space group Cm (No. 8), with a = 12.152 Å, b = 5.653 Å, c = 3.775 Å, α = 90.00°, β = 108.07° and γ = 90.00°. The inequivalent atoms are Tb at (0.000, 0.000, 0.000), Nd at (0.271, 0.000, 0.776), Ho at (0.039, 0.500, 0.539) and Sc at (0.268, 0.500, 0.270).

The density of states at the Fermi level is 6.9 states/eV/f.u.



Run x
TbNdHoSc | PBE-GGA | relaxed

It has space group F-43m (No. 216), with a = 7.890 Å, b = 7.890 Å, c = 7.890 Å, α = 90.00°, β = 90.00° and γ = 90.00°. The inequivalent atoms are Tb at (0.000, 0.000, 0.000), Nd at (0.000, 0.000, 0.500), Ho at (0.250, 0.250, 0.750) and Sc at (0.250, 0.250, 0.250).

The density of states at the Fermi level is 6.3 states/eV/f.u.



We find run w to be the most stable, with the next structure 16 meV per atom higher.



Run w
NdYHoSc | PBE-GGA | relaxed

It has space group F-43m (No. 216), with a = 7.899 Å, b = 7.899 Å, c = 7.899 Å, α = 90.00°, β = 90.00° and γ = 90.00°. The inequivalent atoms are Nd at (0.000, 0.000, 0.000), Y at (0.000, 0.000, 0.500), Ho at (0.250, 0.250, 0.250) and Sc at (0.250, 0.250, 0.750).

The density of states at the Fermi level is 6.4 states/eV/f.u.



Run x
NdYHoSc | PBE-GGA | relaxed

It has space group Cm (No. 8), with a = 12.140 Å, b = 5.625 Å, c = 3.816 Å, α = 90.00°, β = 108.29° and γ = 90.00°. The inequivalent atoms are Nd at (0.000, 0.000, 0.000), Y at (0.277, 0.000, 0.779), Ho at (0.043, 0.500, 0.544) and Sc at (0.270, 0.500, 0.270).

The density of states at the Fermi level is 7.4 states/eV/f.u.



We find run x to be the most stable, with the next structure 7 meV per atom higher.



Run w
NdHoScZn | PBE-GGA | relaxed

It has space group P4mm (No. 99), with a = 3.486 Å, b = 3.486 Å, c = 8.552 Å, α = 90.00°, β = 90.00° and γ = 90.00°. The inequivalent atoms are Nd at (0.000, 0.000, 0.000), Ho at (0.500, 0.500, 0.687), Sc at (0.500, 0.500, 0.289) and Zn at (0.000, 0.000, 0.466).

The density of states at the Fermi level is 4.1 states/eV/f.u.



Run x
NdHoScZn | PBE-GGA | relaxed

It has space group F-43m (No. 216), with a = 7.455 Å, b = 7.455 Å, c = 7.455 Å, α = 90.00°, β = 90.00° and γ = 90.00°. The inequivalent atoms are Nd at (0.000, 0.000, 0.000), Ho at (0.000, 0.000, 0.500), Sc at (0.250, 0.250, 0.750) and Zn at (0.250, 0.250, 0.250).

The density of states at the Fermi level is 4.7 states/eV/f.u.



We find run w to be the most stable, with the next structure 146 meV per atom higher.



Run w
NdHo2Se4 | PBE-GGA | relaxed

It has space group Cmcm (No. 63), with a = 4.019 Å, b = 13.451 Å, c = 13.847 Å, α = 90.00°, β = 90.00° and γ = 90.00°. The inequivalent atoms are Nd at (0.000, 0.124, 0.250), Ho at (0.000, 0.370, 0.068), Se at (0.000, 0.000, 0.000), Se at (0.000, 0.274, 0.619) and Se at (0.000, 0.461, 0.250).

The density of states at the Fermi level is 1.7 states/eV/f.u.



Run x
NdHo2Se4 | PBE-GGA | relaxed

It has space group Pnma (No. 62), with a = 12.598 Å, b = 4.022 Å, c = 14.689 Å, α = 90.00°, β = 90.00° and γ = 90.00°. The inequivalent atoms are Nd at (0.248, 0.250, 0.172), Ho at (0.057, 0.250, 0.387), Ho at (0.096, 0.250, 0.909), Se at (0.044, 0.750, 0.784), Se at (0.100, 0.250, 0.576), Se at (0.128, 0.750, 0.045) and Se at (0.198, 0.750, 0.322).

The density of states at the Fermi level is 2.2 states/eV/f.u.



We find run w to be the most stable, with the next structure 10 meV per atom higher.



Run w
Nd2HoSe3 | PBE-GGA | relaxed

It has space group P6_3/mmc (No. 194), with a = 4.0976 Å, b = 4.0976 Å, c = 21.2940 Å, α = 90.00°, β = 90.00° and γ = 120.00°. The inequivalent atoms are Nd at (0.3333, 0.6667, 0.0834), Ho at (0.0000, 0.0000, 0.2500), Se at (0.0000, 0.0000, 0.0000) and Se at (0.3333, 0.6667, 0.6700).

The density of states at the Fermi level is 3.1 states/eV/f.u.



Run x
Nd2HoSe3 | PBE-GGA | relaxed

It has space group Immm (No. 71), with a = 4.168 Å, b = 5.894 Å, c = 12.561 Å, α = 90.00°, β = 90.00° and γ = 90.00°. The inequivalent atoms are Nd at (0.000, 0.000, 0.173), Ho at (0.000, 0.000, 0.500), Se at (0.000, 0.500, 0.157) and Se at (0.000, 0.500, 0.500).

The density of states at the Fermi level is 2.8 states/eV/f.u.



We find run x to be the most stable, with the next structure 22 meV per atom higher.